No. 1
# Tb5Pm4Tl2 (PBE, optimized geometry)
data_Tb5Pm4Tl2
_space_group_name_H-M_alt 'P 1'
_space_group_IT_number 1
_cell_length_a 5.263
_cell_length_b 5.263
_cell_length_c 16.217
_cell_angle_alpha 80.66
_cell_angle_beta 80.66
_cell_angle_gamma 60.00
loop_
_space_group_symop_operation_xyz
'x,y,z'
loop_
_atom_site_label
_atom_site_fract_x
_atom_site_fract_y
_atom_site_fract_z
Tb1 0.802 0.802 0.595
Tb2 0.649 0.649 0.054
Tb3 0.500 0.500 0.500
Tb4 0.351 0.351 0.946
Tb5 0.198 0.198 0.405
Pm1 0.725 0.725 0.826
Pm2 0.574 0.574 0.279
Pm3 0.426 0.426 0.721
Pm4 0.275 0.275 0.174
Tl1 0.122 0.122 0.633
Tl2 0.878 0.878 0.367
# Raw total energy in eV per atom: -4.03
# ΔH_f (0 K) in eV/atom: 0.233
# Theoretical density in g/cm3: 7.7

No. 2
# Tb2Pm3Tl6 (PBE, optimized geometry)
data_Tb2Pm3Tl6
_space_group_name_H-M_alt 'P 1'
_space_group_IT_number 1
_cell_length_a 4.826
_cell_length_b 4.826
_cell_length_c 15.085
_cell_angle_alpha 99.20
_cell_angle_beta 99.20
_cell_angle_gamma 90.00
loop_
_space_group_symop_operation_xyz
'x,y,z'
loop_
_atom_site_label
_atom_site_fract_x
_atom_site_fract_y
_atom_site_fract_z
Tb1 0.446 0.446 0.892
Tb2 0.554 0.554 0.108
Pm1 0.000 0.000 0.000
Pm2 0.801 0.801 0.602
Pm3 0.199 0.199 0.398
Tl1 0.118 0.618 0.236
Tl2 0.618 0.118 0.236
Tl3 0.882 0.382 0.764
Tl4 0.382 0.882 0.764
Tl5 0.694 0.694 0.388
Tl6 0.306 0.306 0.612
# Raw total energy in eV per atom: -3.52
# ΔH_f (0 K) in eV/atom: -0.096
# Theoretical density in g/cm3: 9.6

No. 3
# Tb2Pm8Tl (PBE, optimized geometry)
data_Tb2Pm8Tl
_space_group_name_H-M_alt 'P 1'
_space_group_IT_number 1
_cell_length_a 5.574
_cell_length_b 7.690
_cell_length_c 9.956
_cell_angle_alpha 112.72
_cell_angle_beta 106.25
_cell_angle_gamma 90.00
loop_
_space_group_symop_operation_xyz
'x,y,z'
loop_
_atom_site_label
_atom_site_fract_x
_atom_site_fract_y
_atom_site_fract_z
Tb1 0.193 0.693 0.385
Tb2 0.807 0.307 0.615
Pm1 0.637 0.865 0.274
Pm2 0.363 0.590 0.726
Pm3 0.179 0.179 0.359
Pm4 0.000 0.261 0.000
Pm5 0.821 0.821 0.641
Pm6 0.637 0.410 0.274
Pm7 0.363 0.135 0.726
Pm8 0.000 0.739 0.000
Tl1 0.500 0.000 0.000
# Raw total energy in eV per atom: -4.49
# ΔH_f (0 K) in eV/atom: 0.023
# Theoretical density in g/cm3: 7.4
# Distance to the lowest polymorph of the same formula in meV per atom: 65

No. 4
# Tb4Pm3Tl (PBE, optimized geometry)
data_Tb4Pm3Tl
_space_group_name_H-M_alt 'P 1'
_space_group_IT_number 1
_cell_length_a 4.175
_cell_length_b 4.175
_cell_length_c 14.472
_cell_angle_alpha 90.00
_cell_angle_beta 90.00
_cell_angle_gamma 90.00
loop_
_space_group_symop_operation_xyz
'x,y,z'
loop_
_atom_site_label
_atom_site_fract_x
_atom_site_fract_y
_atom_site_fract_z
Tl1 0.500 0.500 0.000
Tb1 0.000 0.000 0.889
Tb2 0.000 0.000 0.111
Tb3 0.000 0.000 0.368
Tb4 0.000 0.000 0.632
Pm1 0.500 0.500 0.248
Pm2 0.500 0.500 0.500
Pm3 0.500 0.500 0.752
# Raw total energy in eV per atom: -4.38
# ΔH_f (0 K) in eV/atom: 0.011
# Theoretical density in g/cm3: 8.4
# Distance to the lowest polymorph of the same formula in meV per atom: 68

No. 5
# TbPm15Tl4 (PBE, optimized geometry)
data_TbPm15Tl4
_space_group_name_H-M_alt 'P 1'
_space_group_IT_number 1
_cell_length_a 4.966
_cell_length_b 4.966
_cell_length_c 25.397
_cell_angle_alpha 90.00
_cell_angle_beta 90.00
_cell_angle_gamma 90.00
loop_
_space_group_symop_operation_xyz
'x,y,z'
loop_
_atom_site_label
_atom_site_fract_x
_atom_site_fract_y
_atom_site_fract_z
Tb1 0.000 0.000 0.000
Pm1 0.500 0.500 0.000
Pm2 0.500 0.500 0.204
Pm3 0.500 0.500 0.402
Pm4 0.500 0.500 0.598
Pm5 0.500 0.500 0.796
Pm6 0.500 0.000 0.105
Pm7 0.500 0.000 0.303
Pm8 0.500 0.000 0.500
Pm9 0.500 0.000 0.697
Pm10 0.500 0.000 0.895
Pm11 0.000 0.500 0.105
Pm12 0.000 0.500 0.303
Pm13 0.000 0.500 0.500
Pm14 0.000 0.500 0.697
Pm15 0.000 0.500 0.895
Tl1 0.000 0.000 0.206
Tl2 0.000 0.000 0.402
Tl3 0.000 0.000 0.598
Tl4 0.000 0.000 0.794
# Raw total energy in eV per atom: -4.42
# ΔH_f (0 K) in eV/atom: -0.153
# Theoretical density in g/cm3: 8.4

No. 6
# Tb6Pm2Tl (PBE, optimized geometry)
data_Tb6Pm2Tl
_space_group_name_H-M_alt 'P 1'
_space_group_IT_number 1
_cell_length_a 6.098
_cell_length_b 11.455
_cell_length_c 11.455
_cell_angle_alpha 47.59
_cell_angle_beta 105.43
_cell_angle_gamma 105.42
loop_
_space_group_symop_operation_xyz
'x,y,z'
loop_
_atom_site_label
_atom_site_fract_x
_atom_site_fract_y
_atom_site_fract_z
Tb1 0.429 0.650 0.503
Tb2 0.071 0.497 0.350
Tb3 0.571 0.350 0.497
Tb4 0.929 0.503 0.650
Tb5 0.917 0.917 0.417
Tb6 0.583 0.583 0.083
Tb7 0.083 0.083 0.583
Tb8 0.417 0.417 0.917
Tb9 0.274 0.850 0.997
Tb10 0.226 0.003 0.150
Tb11 0.726 0.150 0.003
Tb12 0.774 0.997 0.850
Pm1 0.454 0.830 0.669
Pm2 0.045 0.331 0.170
Pm3 0.546 0.170 0.331
Pm4 0.955 0.669 0.830
Tl1 0.250 0.249 0.751
Tl2 0.750 0.751 0.249
# Raw total energy in eV per atom: -4.40
# ΔH_f (0 K) in eV/atom: 0.009
# Theoretical density in g/cm3: 8.5
# Distance to the lowest polymorph of the same formula in meV per atom: 10